A geometry-optimized LaMgCdPt2 structure. Source: OQMD, functional PBE.

Cell lengths 4.110, 4.110, 12.925 Å; angles 90.00, 90.00, 90.00 degrees
Space group I-4m2 (No. 119)
Symmetry-distinct sites (fractional):
La 0.000 0.000 0.000 x2
Mg 0.000 0.500 0.750 x2
Cd 0.000 0.500 0.250 x2
Pt 0.000 0.000 0.396 x4

Results
- total DFT energy (no corrections) (eV for the cell shown) = -47.29

***

A geometry-optimized LaTm2Mg3Tl2Cd structure. Source: OQMD, functional PBE.

Cell lengths 4.684, 13.337, 7.480 Å; angles 90.00, 90.00, 90.00 degrees
Space group Amm2 (No. 38)
Symmetry-distinct sites (fractional):
La 0.000 0.000 0.000 x2
Tm 0.000 0.213 0.637 x4
Mg 0.500 0.000 0.668 x2
Mg 0.500 0.119 0.309 x4
Tl 0.500 0.172 0.924 x4
Cd 0.000 0.000 0.442 x2

Results
- total DFT energy (no corrections) (eV for the cell shown) = -53.88

***

A geometry-optimized La3CdN structure. Source: OQMD, functional PBE.

Cell lengths 5.119, 5.119, 5.119 Å; angles 90.00, 90.00, 90.00 degrees
Space group Pm-3m (No. 221)
Symmetry-distinct sites (fractional):
La 0.000 0.000 0.500 x3
Cd 0.500 0.500 0.500 x1
N 0.000 0.000 0.000 x1

Results
- energy relative to the lowest polymorph listed for this composition (kJ/mol of formula units) = 1
- total DFT energy (no corrections) (eV for the cell shown) = -27.68

***

A geometry-optimized La3CdN structure. Source: OQMD, functional PBE.

Cell lengths 7.2279, 7.2279, 17.7554 Å; angles 90.00, 90.00, 120.00 degrees
Space group R-3c (No. 167, hexagonal axes)
Symmetry-distinct sites (fractional):
La 0.0000 0.4635 0.2500 x18
Cd 0.0000 0.0000 0.2500 x6
N 0.0000 0.0000 0.0000 x6

Results
- energy relative to the lowest polymorph listed for this composition (kJ/mol of formula units) = 0
- total DFT energy (no corrections) (eV for the cell shown) = -166.14

***

A geometry-optimized La3CdN structure. Source: OQMD, functional PBE.

Cell lengths 7.234, 10.235, 7.233 Å; angles 90.00, 90.00, 90.00 degrees
Space group Imma (No. 74)
Symmetry-distinct sites (fractional):
La 0.000 0.250 0.003 x4
La 0.250 0.002 0.750 x8
Cd 0.000 0.250 0.500 x4
N 0.000 0.000 0.000 x4

Results
- energy relative to the lowest polymorph listed for this composition (kJ/mol of formula units) = 1
- total DFT energy (no corrections) (eV for the cell shown) = -110.71

***

A geometry-optimized NaLaCd structure. Source: OQMD, functional PBE.

Cell lengths 7.410, 7.410, 7.410 Å; angles 90.00, 90.00, 90.00 degrees
Space group F-43m (No. 216)
Symmetry-distinct sites (fractional):
Na 0.000 0.000 0.000 x4
La 0.000 0.000 0.500 x4
Cd 0.250 0.250 0.750 x4

Results
- energy relative to the lowest polymorph listed for this composition (kJ/mol of formula units) = 0
- total DFT energy (no corrections) (eV for the cell shown) = -27.25